No. 1
# PmTaN2O

A geometry-optimized PmTaN2O structure (GGA-PBE, the Open Quantum Materials Database).

Geometry as CIF:
```
data_PmTaN2O
_cell_length_a 4.080
_cell_length_b 4.080
_cell_length_c 3.934
_cell_angle_alpha 90.00
_cell_angle_beta 90.00
_cell_angle_gamma 90.00
_space_group_name_H-M_alt 'P 4/m m m'
_space_group_IT_number 123
_space_group_name_Hall '-P 4 2'
loop_
_atom_site_label
_atom_site_type_symbol
_atom_site_fract_x
_atom_site_fract_y
_atom_site_fract_z
Pm1 Pm 0.000 0.000 0.000
Ta1 Ta 0.500 0.500 0.500
N1 N 0.000 0.500 0.500
O1 O 0.500 0.500 0.000
```



No. 2
# CuAgSnMo

A geometry-optimized CuAgSnMo structure (GGA-PBE, the Open Quantum Materials Database).

Geometry as CIF:
```
data_CuAgSnMo
_cell_length_a 6.496
_cell_length_b 6.496
_cell_length_c 6.496
_cell_angle_alpha 90.00
_cell_angle_beta 90.00
_cell_angle_gamma 90.00
_space_group_name_H-M_alt 'F -4 3 m'
_space_group_IT_number 216
_space_group_name_Hall 'F -4 2 3'
loop_
_atom_site_label
_atom_site_type_symbol
_atom_site_fract_x
_atom_site_fract_y
_atom_site_fract_z
Cu1 Cu 0.000 0.000 0.000
Ag1 Ag 0.250 0.250 0.250
Sn1 Sn 0.250 0.250 0.750
Mo1 Mo 0.000 0.000 0.500
```



No. 3
# PrPaTe

A geometry-optimized PrPaTe structure (GGA-PBE, the Open Quantum Materials Database).

Geometry as CIF:
```
data_PrPaTe
_cell_length_a 7.335
_cell_length_b 7.335
_cell_length_c 7.335
_cell_angle_alpha 90.00
_cell_angle_beta 90.00
_cell_angle_gamma 90.00
_space_group_name_H-M_alt 'F -4 3 m'
_space_group_IT_number 216
_space_group_name_Hall 'F -4 2 3'
loop_
_atom_site_label
_atom_site_type_symbol
_atom_site_fract_x
_atom_site_fract_y
_atom_site_fract_z
Pr1 Pr 0.000 0.000 0.000
Pa1 Pa 0.000 0.000 0.500
Te1 Te 0.250 0.250 0.750
```



No. 4
# RbNa3Sb2Au2

A geometry-optimized RbNa3Sb2Au2 structure (GGA-PBE, the Open Quantum Materials Database).

Geometry as CIF:
```
data_RbNa3Sb2Au2
_cell_length_a 5.989
_cell_length_b 6.159
_cell_length_c 6.590
_cell_angle_alpha 90.00
_cell_angle_beta 105.25
_cell_angle_gamma 90.00
_space_group_name_H-M_alt 'P 1 m 1'
_space_group_IT_number 6
_space_group_name_Hall 'P -2y'
loop_
_atom_site_label
_atom_site_type_symbol
_atom_site_fract_x
_atom_site_fract_y
_atom_site_fract_z
Rb1 Rb 0.000 0.000 0.000
Na1 Na 0.317 0.500 0.366
Na2 Na 0.644 0.000 0.347
Na3 Na 0.954 0.500 0.685
Sb1 Sb 0.212 0.000 0.546
Sb2 Sb 0.743 0.500 0.155
Au1 Au 0.460 0.260 0.849
```



No. 5
# ErTc

A geometry-optimized ErTc structure (GGA-PBE, the Open Quantum Materials Database).

Geometry as CIF:
```
data_ErTc
_cell_length_a 6.177
_cell_length_b 6.177
_cell_length_c 6.177
_cell_angle_alpha 90.00
_cell_angle_beta 90.00
_cell_angle_gamma 90.00
_space_group_name_H-M_alt 'F -4 3 m'
_space_group_IT_number 216
_space_group_name_Hall 'F -4 2 3'
loop_
_atom_site_label
_atom_site_type_symbol
_atom_site_fract_x
_atom_site_fract_y
_atom_site_fract_z
Er1 Er 0.000 0.000 0.000
Tc1 Tc 0.250 0.250 0.750
```

Summary:
ΔH_f (0 K): 1.890 eV/atom



No. 6
# TmAl3GaNi

A geometry-optimized TmAl3GaNi structure (GGA-PBE, the Open Quantum Materials Database).

Geometry as CIF:
```
data_TmAl3GaNi
_cell_length_a 4.044
_cell_length_b 15.161
_cell_length_c 6.641
_cell_angle_alpha 90.00
_cell_angle_beta 90.00
_cell_angle_gamma 90.00
_space_group_name_H-M_alt 'C m c m'
_space_group_IT_number 63
_space_group_name_Hall '-C 2c 2'
loop_
_atom_site_label
_atom_site_type_symbol
_atom_site_fract_x
_atom_site_fract_y
_atom_site_fract_z
Tm1 Tm 0.000 0.120 0.250
Al1 Al 0.000 0.313 0.052
Al2 Al 0.000 0.500 0.000
Ga1 Ga 0.000 0.071 0.750
Ni1 Ni 0.000 0.226 0.750
```



No. 7
# Zr2CuB

A geometry-optimized Zr2CuB structure (GGA-PBE, the Open Quantum Materials Database).

Geometry as CIF:
```
data_Zr2CuB
_cell_length_a 6.335
_cell_length_b 6.335
_cell_length_c 6.335
_cell_angle_alpha 90.00
_cell_angle_beta 90.00
_cell_angle_gamma 90.00
_space_group_name_H-M_alt 'F -4 3 m'
_space_group_IT_number 216
_space_group_name_Hall 'F -4 2 3'
loop_
_atom_site_label
_atom_site_type_symbol
_atom_site_fract_x
_atom_site_fract_y
_atom_site_fract_z
Zr1 Zr 0.000 0.000 0.000
Zr2 Zr 0.250 0.250 0.250
Cu1 Cu 0.250 0.250 0.750
B1 B 0.000 0.000 0.500
```



No. 8
# Tc2GeMo

A geometry-optimized Tc2GeMo structure (GGA-PBE, the Open Quantum Materials Database).

Geometry as CIF:
```
data_Tc2GeMo
_cell_length_a 6.200
_cell_length_b 6.200
_cell_length_c 6.200
_cell_angle_alpha 90.00
_cell_angle_beta 90.00
_cell_angle_gamma 90.00
_space_group_name_H-M_alt 'F -4 3 m'
_space_group_IT_number 216
_space_group_name_Hall 'F -4 2 3'
loop_
_atom_site_label
_atom_site_type_symbol
_atom_site_fract_x
_atom_site_fract_y
_atom_site_fract_z
Tc1 Tc 0.000 0.000 0.000
Tc2 Tc 0.250 0.250 0.250
Ge1 Ge 0.000 0.000 0.500
Mo1 Mo 0.250 0.250 0.750
```



Number 1: total energy -46.9 eV per cell, calculated volume 13.10 Å³ per atom. Number 2: total energy -78.7 eV per cell, calculated volume 17.13 Å³ per atom. Number 3: total energy -70.2 eV per cell, calculated volume 32.89 Å³ per atom. Number 4: total energy -23.2 eV per cell, calculated volume 29.31 Å³ per atom. Number 5: total energy -44.6 eV per cell, calculated volume 29.47 Å³ per atom. Number 6: total energy -110.2 eV per cell, calculated volume 16.96 Å³ per atom. Number 7: total energy -96.6 eV per cell, calculated volume 15.89 Å³ per atom. Number 8: total energy -142.6 eV per cell, calculated volume 14.90 Å³ per atom.